Density functional theory data (PBE-GGA) for a relaxed PrYInHg crystal. Values from VASP.

The structure in Quantum ESPRESSO input format:
```
&SYSTEM
  ibrav = 0, nat = 4, ntyp = 4
/
ATOMIC_SPECIES
Pr 140.91 Pr.upf
Y 88.91 Y.upf
Hg 200.59 Hg.upf
In 114.82 In.upf
CELL_PARAMETERS angstrom
5.4151 0.0000 0.0000
2.7076 4.6896 0.0000
2.7076 1.5632 4.4214
ATOMIC_POSITIONS crystal
Pr 0.7500 0.7500 0.7500
Y 0.2500 0.2500 0.2500
Hg 0.5000 0.5000 0.5000
In 0.0000 0.0000 0.0000
```

Calculated values
Space group: F-43m (216)
Density: 8.063 g cm⁻³
Formation energy from the elements: -0.48 eV/atom
E_tot: -4.0522 eV per atom